First-principles (PBE+U) data for a geometry-optimized Ga2NiSeO6 structure, as listed in the Alexandria database.

Geometry as CIF:
```
data_Ga2NiSeO6
_space_group_name_H-M_alt 'C 1 2/c 1'
_space_group_IT_number 15
_space_group_name_Hall '-C 2yc'
_cell_length_a 10.070
_cell_length_b 8.817
_cell_length_c 5.439
_cell_angle_alpha 90.00
_cell_angle_beta 102.27
_cell_angle_gamma 90.00
loop_
_atom_site_label
_atom_site_type_symbol
_atom_site_fract_x
_atom_site_fract_y
_atom_site_fract_z
Ga1 Ga 0.198 0.097 0.254
Ni1 Ni 0.000 0.409 0.250
Se1 Se 0.000 0.243 0.750
O1 O 0.101 0.395 0.642
O2 O 0.116 0.268 0.092
O3 O 0.155 0.075 0.562
```

Output
Raw total energy in eV per atom: -5.4838